Density functional theory data (PBE) for crystalline RbCe2Au2Se6 at its relaxed geometry. Values from VASP.

Calculated values
The formation energy (no corrections) is -0.984 eV per atom. The calculation puts the total magnetization at 0.00 μB per atom. The space-group type is No. 2.

Structure (Quantum ESPRESSO input):
```
&SYSTEM
  ibrav = 0, nat = 11, ntyp = 4
/
ATOMIC_SPECIES
Au 196.97 Au.upf
Ce 140.12 Ce.upf
Se 78.96 Se.upf
Rb 85.47 Rb.upf
ATOMIC_POSITIONS crystal
Au 0.741 0.246 0.186
Au 0.259 0.754 0.814
Ce 0.175 0.665 0.174
Ce 0.825 0.335 0.826
Se 0.050 0.567 0.853
Se 0.834 0.178 0.436
Se 0.950 0.433 0.147
Se 0.166 0.822 0.564
Se 0.571 0.199 0.944
Se 0.429 0.801 0.056
Rb 0.500 0.000 0.500
CELL_PARAMETERS angstrom
-5.456 5.465 0.495
-7.123 -2.425 -0.144
2.977 3.364 7.084
```



Density functional theory data (PBE) for crystalline Ce3Pr3In5 at its relaxed geometry. Values from VASP.

Calculated values
The calculation puts the total magnetization at 0.37 μB per atom. The space-group type is No. 189. As for the electronic total energy: -3.801 eV per atom.

Structure (Quantum ESPRESSO input):
```
&SYSTEM
  ibrav = 0, nat = 11, ntyp = 3
/
ATOMIC_SPECIES
Ce 140.12 Ce.upf
In 114.82 In.upf
Pr 140.91 Pr.upf
ATOMIC_POSITIONS crystal
Ce 0.500 0.804 0.804
Ce 0.500 0.196 0.000
Ce 0.500 0.000 0.196
In 0.500 0.409 0.409
In 0.500 0.591 0.000
In 0.500 0.000 0.591
In 0.500 0.333 0.667
In 0.500 0.667 0.333
Pr 0.000 0.297 0.000
Pr 0.000 0.000 0.297
Pr 0.000 0.703 0.703
CELL_PARAMETERS angstrom
5.715 0.000 0.000
0.000 8.881 0.000
0.000 -4.441 7.691
```